1.
Density functional theory data (GGA-PBE) for crystalline NaAc2Pb3S6 at its relaxed geometry.

```
NaAc2Pb3S6
1.0
-0.388 2.845 3.441
-6.828 3.383 -3.568
-3.299 -8.203 3.492
Ac S Pb Na
2 6 3 1
Direct
0.837 0.683 0.673
0.163 0.317 0.327
0.669 0.558 0.337
0.998 0.747 0.996
0.331 0.442 0.663
0.666 0.074 0.333
0.002 0.253 0.004
0.334 0.926 0.667
0.841 0.149 0.682
0.159 0.851 0.318
0.500 0.500 0.000
0.500 0.000 0.000
```

- Energy relative to the elements, uncorrected: -14.10 eV per formula unit



2.
Density functional theory data (GGA-PBE) for crystalline Ba2CrAgN at its relaxed geometry.

```
Ba2CrAgN
1.0
5.945 0.000 0.000
0.000 5.945 0.000
0.000 0.000 3.809
N Ag Cr Ba
1 1 1 2
Direct
0.000 0.000 0.000
0.500 0.500 0.500
0.000 0.000 0.500
0.500 0.000 0.000
0.000 0.500 0.000
```

- Energy relative to the elements, uncorrected: -1.34 eV per formula unit



3.
Density functional theory data (GGA-PBE) for crystalline LaMgAl2 at its relaxed geometry.

```
LaMgAl2
1.0
-3.253 -0.948 -3.132
1.194 -0.860 -4.373
-0.259 -5.889 -1.349
Al Mg La
2 1 1
Direct
0.962 0.962 0.112
0.538 0.538 0.388
0.250 0.250 0.250
0.750 0.750 0.750
```

- Formation enthalpy at 0 K: -221 meV/atom



4.
Density functional theory data (GGA-PBE) for crystalline LiTe12Pd7 at its relaxed geometry.

```
LiTe12Pd7
1.0
-1.387 -8.081 0.933
4.325 0.153 -7.026
5.892 1.344 5.619
Te Pd Li
12 7 1
Direct
0.960 0.281 0.781
0.157 0.396 0.459
0.459 0.157 0.396
0.781 0.960 0.281
0.396 0.459 0.157
0.040 0.719 0.219
0.604 0.541 0.843
0.281 0.781 0.960
0.843 0.604 0.541
0.719 0.219 0.040
0.219 0.040 0.719
0.541 0.843 0.604
0.063 0.352 0.121
0.500 0.500 0.500
0.121 0.063 0.352
0.648 0.879 0.937
0.879 0.937 0.648
0.937 0.648 0.879
0.352 0.121 0.063
0.000 0.000 0.000
```

- Energy relative to the elements, uncorrected: -5.28 eV per formula unit



5.
Density functional theory data (GGA-PBE) for crystalline AlCrIr at its relaxed geometry.

```
AlCrIr
1.0
4.160 0.000 0.000
-2.080 3.603 0.000
0.000 0.000 2.713
Cr Ir Al
1 1 1
Direct
0.667 0.333 0.329
0.333 0.667 0.704
0.000 0.000 0.968
```

- Formation enthalpy at 0 K: -215 meV/atom



6.
Density functional theory data (GGA-PBE) for crystalline AlTl2Ir at its relaxed geometry.

```
AlTl2Ir
1.0
0.000 3.458 3.458
3.458 0.000 3.458
3.458 3.458 0.000
Ir Tl Al
1 2 1
Direct
0.500 0.500 0.500
0.250 0.250 0.250
0.750 0.750 0.750
0.000 0.000 0.000
```

- Energy above the most stable polymorph in this dataset: 599.3 meV/atom
- Formation enthalpy at 0 K: 533 meV/atom